Entry 1:
Density functional theory data (PBE) for a geometry-optimized Tb3NdTm2Se6 structure.

a b c (Å): 7.0988 7.0988 7.0833
angles (deg): 99.55 99.55 120.24
Closest atoms and distances in Å follow each position.
Atoms (fractional coordinates):
Tb (0.0000, 0.0000, 0.0000)  6 Se 2.84-2.94
Tb (0.3429, 0.6571, 0.0000)  6 Se 2.88-2.93
Tb (0.6571, 0.3429, 0.0000)  6 Se 2.88-2.93
Nd (0.5000, 0.5000, 0.5000)  6 Se 2.94-2.98
Tm (0.1653, 0.8347, 0.5000)  6 Se 2.82-2.87
Tm (0.8347, 0.1653, 0.5000)  6 Se 2.82-2.87
Se (0.0694, 0.4170, 0.2489)  2 Tm 2.86-2.87, 3 Tb 2.90-2.94, 1 Nd 2.98
Se (0.2349, 0.2349, 0.7438)  2 Tm 2.82, 3 Tb 2.84-2.88, 1 Nd 2.94
Se (0.4170, 0.0694, 0.2489)  2 Tm 2.86-2.87, 3 Tb 2.90-2.94, 1 Nd 2.98
Se (0.5830, 0.9306, 0.7511)  2 Tm 2.86-2.87, 3 Tb 2.90-2.94, 1 Nd 2.98
Se (0.7651, 0.7651, 0.2562)  2 Tm 2.82, 3 Tb 2.84-2.88, 1 Nd 2.94
Se (0.9306, 0.5830, 0.7511)  2 Tm 2.86-2.87, 3 Tb 2.90-2.94, 1 Nd 2.98

Values from the calculation:
Formation energy (no corrections) (eV/atom): -1.747
Volume (Å³ per cell): 290.8
Magnetic moment (μB/cell): 0.00

=====

Entry 2:
Density functional theory data (PBE) for a geometry-optimized TbNd2TmSe4 structure.

a b c (Å): 7.0984 4.0685 7.3553
angles (deg): 90.00 108.55 90.00
Closest atoms and distances in Å follow each position.
Atoms (fractional coordinates):
Tb (0.0000, 0.0000, 0.0000)  6 Se 2.88
Nd (0.0000, 0.5000, 0.5000)  6 Se 3.02
Nd (0.5000, 0.0000, 0.5000)  6 Se 2.99
Tm (0.5000, 0.5000, 0.0000)  6 Se 2.85
Se (0.2484, 0.5000, 0.2344)  1 Tm 2.85, 2 Tb 2.88, 3 Nd 2.99-3.02
Se (0.2599, 0.0000, 0.7681)  2 Tm 2.85, 1 Tb 2.88, 3 Nd 2.99-3.02
Se (0.7401, 0.0000, 0.2319)  2 Tm 2.85, 1 Tb 2.88, 3 Nd 2.99-3.02
Se (0.7516, 0.5000, 0.7656)  1 Tm 2.85, 2 Tb 2.88, 3 Nd 2.99-3.02

Values from the calculation:
Formation energy (no corrections) (eV/atom): -1.783
Volume (Å³ per cell): 201.4
Magnetic moment (μB/cell): 0.00

=====

Entry 3:
Density functional theory data (PBE) for a geometry-optimized Tb2NdTm3Se6 structure.

a b c (Å): 9.1525 9.1525 8.2383
angles (deg): 104.15 104.15 25.54
Closest atoms and distances in Å follow each position.
Atoms (fractional coordinates):
Tb (0.1650, 0.1650, 0.3298)  6 Se 2.88-2.93
Tb (0.8350, 0.8350, 0.6702)  6 Se 2.88-2.93
Nd (0.5000, 0.5000, 0.0000)  6 Se 2.97-2.98
Tm (0.1639, 0.1639, 0.8330)  6 Se 2.81-2.87
Tm (0.5000, 0.5000, 0.5000)  6 Se 2.81-2.86
Tm (0.8361, 0.8361, 0.1670)  6 Se 2.81-2.87
Se (0.0011, 0.0011, 0.7370)  3 Tm 2.81, 1 Tb 2.88, 2 Nd 2.97
Se (0.3276, 0.3276, 0.9197)  3 Tm 2.83-2.85, 2 Tb 2.91, 1 Nd 2.98
Se (0.3343, 0.3343, 0.4126)  3 Tm 2.86-2.87, 3 Tb 2.93
Se (0.6657, 0.6657, 0.5874)  3 Tm 2.86-2.87, 3 Tb 2.93
Se (0.6724, 0.6724, 0.0803)  3 Tm 2.83-2.85, 2 Tb 2.91, 1 Nd 2.98
Se (0.9989, 0.9989, 0.2630)  3 Tm 2.81, 1 Tb 2.88, 2 Nd 2.97

Values from the calculation:
Formation energy (no corrections) (eV/atom): -1.730
Volume (Å³ per cell): 288.0
Magnetic moment (μB/cell): 0.00

=====

Entry 4:
Density functional theory data (PBE) for a geometry-optimized TbNd3Tm2Se6 structure.

a b c (Å): 7.0891 7.0891 7.3156
angles (deg): 99.28 99.28 120.23
Closest atoms and distances in Å follow each position.
Atoms (fractional coordinates):
Tb (0.0000, 0.0000, 0.0000)  6 Se 2.88-2.89
Nd (0.1634, 0.8366, 0.5000)  6 Se 3.00-3.01
Nd (0.5000, 0.5000, 0.5000)  6 Se 2.98-3.01
Nd (0.8366, 0.1634, 0.5000)  6 Se 3.00-3.01
Tm (0.3337, 0.6663, 0.0000)  6 Se 2.83-2.85
Tm (0.6663, 0.3337, 0.0000)  6 Se 2.83-2.85
Se (0.0774, 0.4161, 0.2330)  2 Tm 2.84-2.85, 1 Tb 2.89, 3 Nd 3.00-3.01
Se (0.2616, 0.2616, 0.7694)  2 Tm 2.83, 1 Tb 2.88, 3 Nd 2.98-3.00
Se (0.4161, 0.0774, 0.2330)  2 Tm 2.84-2.85, 1 Tb 2.89, 3 Nd 3.00-3.01
Se (0.5839, 0.9226, 0.7670)  2 Tm 2.84-2.85, 1 Tb 2.89, 3 Nd 3.00-3.01
Se (0.7384, 0.7384, 0.2306)  2 Tm 2.83, 1 Tb 2.88, 3 Nd 2.98-3.00
Se (0.9226, 0.5839, 0.7670)  2 Tm 2.84-2.85, 1 Tb 2.89, 3 Nd 3.00-3.01

Values from the calculation:
Formation energy (no corrections) (eV/atom): -1.778
Volume (Å³ per cell): 300.5
Magnetic moment (μB/cell): 0.00

=====

Entry 5:
Density functional theory data (PBE) for a geometry-optimized TbNdTm4Se8 structure.

a b c (Å): 8.4133 8.4133 8.4133
angles (deg): 59.76 59.76 59.76
Closest atoms and distances in Å follow each position.
Atoms (fractional coordinates):
Tb (0.0000, 0.0000, 0.0000)  6 Se 2.89-2.92
Nd (0.6253, 0.6253, 0.6253)  4 Se 2.81-2.82
Tm (0.0000, 0.0000, 0.4965)  6 Se 2.84-2.87
Tm (0.0000, 0.4965, 0.0000)  6 Se 2.84-2.87
Tm (0.3736, 0.3736, 0.3736)  4 Se 2.70-2.72
Tm (0.4965, 0.0000, 0.0000)  6 Se 2.84-2.87
Se (0.2158, 0.7574, 0.7574)  1 Nd 2.81, 2 Tm 2.84, 1 Tb 2.89
Se (0.2417, 0.2417, 0.2417)  4 Tm 2.72-2.87
Se (0.2456, 0.2456, 0.7681)  3 Tm 2.70-2.87, 1 Tb 2.92
Se (0.2456, 0.7681, 0.2456)  3 Tm 2.70-2.87, 1 Tb 2.92
Se (0.7574, 0.2158, 0.7574)  1 Nd 2.81, 2 Tm 2.84, 1 Tb 2.89
Se (0.7574, 0.7574, 0.2158)  1 Nd 2.81, 2 Tm 2.84, 1 Tb 2.89
Se (0.7619, 0.7619, 0.7619)  1 Nd 2.82, 3 Tm 2.84
Se (0.7681, 0.2456, 0.2456)  3 Tm 2.70-2.87, 1 Tb 2.92

Values from the calculation:
Formation energy (no corrections) (eV/atom): -1.691
Volume (Å³ per cell): 418.8
Magnetic moment (μB/cell): 0.00

=====

Entry 6:
Density functional theory data (PBE) for a geometry-optimized TbNd2Tm3Se6 structure.

a b c (Å): 9.2300 9.2300 8.3218
angles (deg): 104.78 104.78 25.35
Closest atoms and distances in Å follow each position.
Atoms (fractional coordinates):
Tb (0.0000, 0.0000, 0.0000)  6 Se 2.91-2.94
Nd (0.3320, 0.3320, 0.6643)  6 Se 2.97-3.01
Nd (0.6680, 0.6680, 0.3357)  6 Se 2.97-3.01
Tm (0.0000, 0.0000, 0.5000)  6 Se 2.81-2.87
Tm (0.3308, 0.3308, 0.1661)  6 Se 2.82-2.86
Tm (0.6692, 0.6692, 0.8339)  6 Se 2.82-2.86
Se (0.1615, 0.1615, 0.5948)  3 Tm 2.81-2.82, 3 Nd 2.97-2.98
Se (0.1672, 0.1672, 0.0703)  3 Tm 2.83-2.84, 1 Tb 2.91, 2 Nd 2.99
Se (0.4950, 0.4950, 0.2530)  3 Tm 2.86-2.87, 2 Tb 2.94, 1 Nd 3.01
Se (0.5050, 0.5050, 0.7470)  3 Tm 2.86-2.87, 2 Tb 2.94, 1 Nd 3.01
Se (0.8328, 0.8328, 0.9297)  3 Tm 2.83-2.84, 1 Tb 2.91, 2 Nd 2.99
Se (0.8385, 0.8385, 0.4052)  3 Tm 2.81-2.82, 3 Nd 2.97-2.98

Values from the calculation:
Formation energy (no corrections) (eV/atom): -1.744
Volume (Å³ per cell): 293.0
Magnetic moment (μB/cell): 0.00